LiZrIn: relaxed, PBE.

Summary:
- energy of formation from the pure elements (eV/atom) = 0.148
- energy (eV per cell) = -12.8
- ΔE to the lowest computed polymorph (eV/atom) = 0.371
- total moment (μB/cell) = 0.0

Cell: 5.0866 5.0866 3.0266 Å, 90.00 90.00 120.00°
Space group P-6m2 (No. 187)
Asymmetric unit:
Li 0.0000 0.0000 0.0000 (multiplicity 1)
Zr 0.6667 0.3333 0.5000 (multiplicity 1)
In 0.3333 0.6667 0.5000 (multiplicity 1)

---

TbGe3Pt2: relaxed, PBE.

Summary:
- energy of formation from the pure elements (eV/atom) = -0.710
- energy (eV per cell) = -139.3
- total moment (μB/cell) = 0.0

Cell: 15.9444 4.1703 7.5007 Å, 90.00 115.57 90.00°
Space group C2/m (No. 12)
Asymmetric unit:
Tb 0.1249 0.0000 0.1526 (multiplicity 4)
Ge 0.0444 0.0000 0.6780 (multiplicity 4)
Ge 0.1603 0.5000 0.4612 (multiplicity 4)
Ge 0.1829 0.5000 0.8932 (multiplicity 4)
Pt 0.0094 0.5000 0.8237 (multiplicity 4)
Pt 0.2119 0.0000 0.6939 (multiplicity 4)